VASP calculation (PBE) on an optimized crystal structure of MnTeCl2.

The structure in CIF format:
```
data_MnTeCl2
_chemical_formula_sum 'Mn1 Te1 Cl2'
_cell_length_a 3.2875
_cell_length_b 3.2476
_cell_length_c 11.4731
_cell_angle_alpha 90.00
_cell_angle_beta 97.12
_cell_angle_gamma 90.00
_space_group_name_H-M_alt 'P 1 2/m 1'
_space_group_IT_number 10
_space_group_name_Hall '-P 2y'
loop_
_atom_site_label
_atom_site_type_symbol
_atom_site_fract_x
_atom_site_fract_y
_atom_site_fract_z
_atom_site_occupancy
Mn1 Mn 0.0000 0.0000 0.0000 1
Te1 Te 0.0000 0.0000 0.5000 1
Cl1 Cl 0.3515 0.5000 0.1345 1
```

Summary:
V	122	Å³ per cell
density of states at the Fermi level	0.26	states/eV/atom
offset from the most stable computed form	89	meV/atom
total energy	-0.166	Ha/atom
raw formation energy	-49	kJ/mol of atoms
M_tot	5.0	μB per formula unit